A plane-wave DFT calculation with PBE was carried out for a geometry-optimized V2TcIr structure.

Unit cell a=3.934 b=3.934 c=16.321 alpha=90.00 beta=90.00 gamma=90.00
Space group I-42d (No. 122)
Symmetry-distinct sites (fractional):
V 0.247 0.250 0.125 x8
Tc 0.000 0.000 0.000 x4
Ir 0.000 0.000 0.500 x4

Summary:
Calculated volume, Å³/cell: 252.5
DOS(E_F), states/eV/cell: 25.75
ΔE_f, meV/atom: 429